Entry 1:
# Be2HgAu2 PBE-GGA optimized geometry
# Space group: P4/mbm
# Excess energy over the best structure of this formula in the dataset (meV/atom): 60
# Theoretical density (Mg/m³): 13.7
data_Be2HgAu2
_cell_length_a 6.965
_cell_length_b 6.965
_cell_length_c 3.063
_cell_angle_alpha 90.00
_cell_angle_beta 90.00
_cell_angle_gamma 90.00
_space_group_name_H-M_alt 'P 1'
_space_group_IT_number 1
_space_group_name_Hall 'P 1'
loop_
_atom_site_label
_atom_site_fract_x
_atom_site_fract_y
_atom_site_fract_z
_atom_site_occupancy
Be1 0.134 0.366 0.000 1
Be2 0.366 0.866 0.000 1
Be3 0.634 0.134 0.000 1
Be4 0.866 0.634 0.000 1
Hg1 0.000 0.000 0.000 1
Hg2 0.500 0.500 0.000 1
Au1 0.150 0.650 0.500 1
Au2 0.350 0.150 0.500 1
Au3 0.650 0.850 0.500 1
Au4 0.850 0.350 0.500 1

---

Entry 2:
# Be2HgAu PBE-GGA optimized geometry
# Electronic total energy (eV/atom): -2.49
# Space group: Imm2
# Theoretical density (Mg/m³): 11.5
data_Be2HgAu
_cell_length_a 5.790
_cell_length_b 5.790
_cell_length_c 5.790
_cell_angle_alpha 151.78
_cell_angle_beta 139.06
_cell_angle_gamma 50.47
_space_group_name_H-M_alt 'P 1'
_space_group_IT_number 1
_space_group_name_Hall 'P 1'
loop_
_atom_site_label
_atom_site_fract_x
_atom_site_fract_y
_atom_site_fract_z
_atom_site_occupancy
Be1 0.000 0.000 0.000 1
Be2 0.775 0.275 0.500 1
Hg1 0.318 0.818 0.500 1
Au1 0.581 0.581 0.000 1

---

Entry 3:
# BeHg2Au PBE-GGA optimized geometry
# Electronic total energy (eV/atom): -1.51
# Space group: I4/mmm
# Theoretical density (Mg/m³): 13.7
data_BeHg2Au
_cell_length_a 5.085
_cell_length_b 5.085
_cell_length_c 5.085
_cell_angle_alpha 130.90
_cell_angle_beta 130.90
_cell_angle_gamma 71.97
_space_group_name_H-M_alt 'P 1'
_space_group_IT_number 1
_space_group_name_Hall 'P 1'
loop_
_atom_site_label
_atom_site_fract_x
_atom_site_fract_y
_atom_site_fract_z
_atom_site_occupancy
Be1 0.000 0.000 0.000 1
Hg1 0.250 0.750 0.500 1
Hg2 0.750 0.250 0.500 1
Au1 0.500 0.500 0.000 1

---

Entry 4:
# BeHg2Au PBE-GGA optimized geometry
# Electronic total energy (eV/atom): -1.54
# Space group: P2/m
# Theoretical density (Mg/m³): 12.8
data_BeHg2Au
_cell_length_a 3.508
_cell_length_b 4.400
_cell_length_c 5.097
_cell_angle_alpha 90.00
_cell_angle_beta 90.10
_cell_angle_gamma 90.00
_space_group_name_H-M_alt 'P 1'
_space_group_IT_number 1
_space_group_name_Hall 'P 1'
loop_
_atom_site_label
_atom_site_fract_x
_atom_site_fract_y
_atom_site_fract_z
_atom_site_occupancy
Be1 0.000 0.000 0.000 1
Hg1 0.208 0.500 0.765 1
Hg2 0.792 0.500 0.235 1
Au1 0.500 0.000 0.500 1

---

Entry 5:
# Be2HgAu PBE-GGA optimized geometry
# Electronic total energy (eV/atom): -2.42
# Space group: R-3m
# Theoretical density (Mg/m³): 11.3
data_Be2HgAu
_cell_length_a 7.385
_cell_length_b 7.385
_cell_length_c 7.385
_cell_angle_alpha 24.53
_cell_angle_beta 24.53
_cell_angle_gamma 24.53
_space_group_name_H-M_alt 'P 1'
_space_group_IT_number 1
_space_group_name_Hall 'P 1'
loop_
_atom_site_label
_atom_site_fract_x
_atom_site_fract_y
_atom_site_fract_z
_atom_site_occupancy
Be1 0.244 0.244 0.244 1
Be2 0.756 0.756 0.756 1
Hg1 0.000 0.000 0.000 1
Au1 0.500 0.500 0.500 1

---

Entry 6:
# BeHg2Au PBE-GGA optimized geometry
# Electronic total energy (eV/atom): -1.51
# Space group: I-4m2
# Theoretical density (Mg/m³): 13.7
data_BeHg2Au
_cell_length_a 5.071
_cell_length_b 5.071
_cell_length_c 5.071
_cell_angle_alpha 130.55
_cell_angle_beta 130.55
_cell_angle_gamma 72.54
_space_group_name_H-M_alt 'P 1'
_space_group_IT_number 1
_space_group_name_Hall 'P 1'
loop_
_atom_site_label
_atom_site_fract_x
_atom_site_fract_y
_atom_site_fract_z
_atom_site_occupancy
Be1 0.000 0.000 0.000 1
Hg1 0.250 0.750 0.500 1
Hg2 0.500 0.500 0.000 1
Au1 0.750 0.250 0.500 1

---

Entry 7:
# Be2HgAu PBE-GGA optimized geometry
# Electronic total energy (eV/atom): -2.64
# Space group: P2/m
# Theoretical density (Mg/m³): 11.0
data_Be2HgAu
_cell_length_a 3.448
_cell_length_b 2.819
_cell_length_c 6.480
_cell_angle_alpha 90.00
_cell_angle_beta 91.46
_cell_angle_gamma 90.00
_space_group_name_H-M_alt 'P 1'
_space_group_IT_number 1
_space_group_name_Hall 'P 1'
loop_
_atom_site_label
_atom_site_fract_x
_atom_site_fract_y
_atom_site_fract_z
_atom_site_occupancy
Be1 0.009 0.000 0.177 1
Be2 0.991 0.000 0.823 1
Hg1 0.000 0.500 0.500 1
Au1 0.500 0.500 0.000 1

---

Entry 8:
# BeHgAu3 PBE-GGA optimized geometry
# Space group: Pm-3m
# Excess energy over the best structure of this formula in the dataset (meV/atom): 1193
# Theoretical density (Mg/m³): 9.3
data_BeHgAu3
_cell_length_a 5.224
_cell_length_b 5.224
_cell_length_c 5.224
_cell_angle_alpha 90.00
_cell_angle_beta 90.00
_cell_angle_gamma 90.00
_space_group_name_H-M_alt 'P 1'
_space_group_IT_number 1
_space_group_name_Hall 'P 1'
loop_
_atom_site_label
_atom_site_fract_x
_atom_site_fract_y
_atom_site_fract_z
_atom_site_occupancy
Be1 0.000 0.000 0.000 1
Hg1 0.500 0.500 0.500 1
Au1 0.000 0.500 0.500 1
Au2 0.500 0.000 0.500 1
Au3 0.500 0.500 0.000 1

---

Entry 9:
# BeHg2Au PBE-GGA optimized geometry
# Electronic total energy (eV/atom): -1.60
# Space group: R-3m
# Theoretical density (Mg/m³): 13.6
data_BeHg2Au
_cell_length_a 8.533
_cell_length_b 8.533
_cell_length_c 8.533
_cell_angle_alpha 21.63
_cell_angle_beta 21.63
_cell_angle_gamma 21.63
_space_group_name_H-M_alt 'P 1'
_space_group_IT_number 1
_space_group_name_Hall 'P 1'
loop_
_atom_site_label
_atom_site_fract_x
_atom_site_fract_y
_atom_site_fract_z
_atom_site_occupancy
Be1 0.000 0.000 0.000 1
Hg1 0.261 0.261 0.261 1
Hg2 0.739 0.739 0.739 1
Au1 0.500 0.500 0.500 1

---

Entry 10:
# Be3HgAu PBE-GGA optimized geometry
# Space group: Pm-3m
# Excess energy over the best structure of this formula in the dataset (meV/atom): 404
# Theoretical density (Mg/m³): 8.1
data_Be3HgAu
_cell_length_a 4.425
_cell_length_b 4.425
_cell_length_c 4.425
_cell_angle_alpha 90.00
_cell_angle_beta 90.00
_cell_angle_gamma 90.00
_space_group_name_H-M_alt 'P 1'
_space_group_IT_number 1
_space_group_name_Hall 'P 1'
loop_
_atom_site_label
_atom_site_fract_x
_atom_site_fract_y
_atom_site_fract_z
_atom_site_occupancy
Be1 0.000 0.000 0.500 1
Be2 0.000 0.500 0.000 1
Be3 0.500 0.000 0.000 1
Hg1 0.000 0.000 0.000 1
Au1 0.500 0.500 0.500 1

---

Entry 11:
# BeHg2Au PBE-GGA optimized geometry
# Electronic total energy (eV/atom): -1.67
# Space group: I-42d
# Theoretical density (Mg/m³): 11.3
data_BeHg2Au
_cell_length_a 6.639
_cell_length_b 6.639
_cell_length_c 6.639
_cell_angle_alpha 96.90
_cell_angle_beta 96.90
_cell_angle_gamma 139.43
_space_group_name_H-M_alt 'P 1'
_space_group_IT_number 1
_space_group_name_Hall 'P 1'
loop_
_atom_site_label
_atom_site_fract_x
_atom_site_fract_y
_atom_site_fract_z
_atom_site_occupancy
Be1 0.000 0.000 0.000 1
Be2 0.750 0.250 0.500 1
Hg1 0.375 0.248 0.373 1
Hg2 0.752 0.125 0.127 1
Hg3 0.875 0.002 0.627 1
Hg4 0.998 0.625 0.873 1
Au1 0.250 0.750 0.500 1
Au2 0.500 0.500 0.000 1

---

Entry 12:
# Be2HgAu PBE-GGA optimized geometry
# Electronic total energy (eV/atom): -2.55
# Space group: Cm
# Theoretical density (Mg/m³): 11.9
data_Be2HgAu
_cell_length_a 4.642
_cell_length_b 4.642
_cell_length_c 4.415
_cell_angle_alpha 102.16
_cell_angle_beta 102.16
_cell_angle_gamma 38.81
_space_group_name_H-M_alt 'P 1'
_space_group_IT_number 1
_space_group_name_Hall 'P 1'
loop_
_atom_site_label
_atom_site_fract_x
_atom_site_fract_y
_atom_site_fract_z
_atom_site_occupancy
Be1 0.000 0.000 0.000 1
Be2 0.713 0.713 0.251 1
Hg1 0.229 0.229 0.767 1
Au1 0.452 0.452 0.384 1

---

Entry 13:
# Be2HgAu2 PBE-GGA optimized geometry
# Space group: I4/mmm
# Excess energy over the best structure of this formula in the dataset (meV/atom): 0
# Theoretical density (Mg/m³): 12.9
data_Be2HgAu2
_cell_length_a 7.026
_cell_length_b 7.026
_cell_length_c 7.026
_cell_angle_alpha 151.47
_cell_angle_beta 151.47
_cell_angle_gamma 40.78
_space_group_name_H-M_alt 'P 1'
_space_group_IT_number 1
_space_group_name_Hall 'P 1'
loop_
_atom_site_label
_atom_site_fract_x
_atom_site_fract_y
_atom_site_fract_z
_atom_site_occupancy
Be1 0.250 0.750 0.500 1
Be2 0.750 0.250 0.500 1
Hg1 0.000 0.000 0.000 1
Au1 0.371 0.371 0.000 1
Au2 0.629 0.629 0.000 1

---

Entry 14:
# BeHg2Au PBE-GGA optimized geometry
# Electronic total energy (eV/atom): -1.83
# Space group: Pm
# Theoretical density (Mg/m³): 12.7
data_BeHg2Au
_cell_length_a 3.357
_cell_length_b 2.928
_cell_length_c 8.082
_cell_angle_alpha 90.00
_cell_angle_beta 94.37
_cell_angle_gamma 90.00
_space_group_name_H-M_alt 'P 1'
_space_group_IT_number 1
_space_group_name_Hall 'P 1'
loop_
_atom_site_label
_atom_site_fract_x
_atom_site_fract_y
_atom_site_fract_z
_atom_site_occupancy
Be1 0.000 0.000 0.000 1
Hg1 0.009 0.500 0.736 1
Hg2 0.156 0.000 0.406 1
Au1 0.527 0.500 0.115 1

---

Entry 15:
# BeHg2Au2 PBE-GGA optimized geometry
# Space group: P4/mbm
# Excess energy over the best structure of this formula in the dataset (meV/atom): 220
# Theoretical density (Mg/m³): 13.6
data_BeHg2Au2
_cell_length_a 6.730
_cell_length_b 6.730
_cell_length_c 4.322
_cell_angle_alpha 90.00
_cell_angle_beta 90.00
_cell_angle_gamma 90.00
_space_group_name_H-M_alt 'P 1'
_space_group_IT_number 1
_space_group_name_Hall 'P 1'
loop_
_atom_site_label
_atom_site_fract_x
_atom_site_fract_y
_atom_site_fract_z
_atom_site_occupancy
Be1 0.000 0.000 0.000 1
Be2 0.500 0.500 0.000 1
Hg1 0.163 0.337 0.000 1
Hg2 0.337 0.837 0.000 1
Hg3 0.663 0.163 0.000 1
Hg4 0.837 0.663 0.000 1
Au1 0.149 0.649 0.500 1
Au2 0.351 0.149 0.500 1
Au3 0.649 0.851 0.500 1
Au4 0.851 0.351 0.500 1

---

Entry 16:
# Be2HgAu PBE-GGA optimized geometry
# Electronic total energy (eV/atom): -2.57
# Space group: Pmmm
# Theoretical density (Mg/m³): 12.0
data_Be2HgAu
_cell_length_a 2.998
_cell_length_b 3.186
_cell_length_c 5.999
_cell_angle_alpha 90.00
_cell_angle_beta 90.00
_cell_angle_gamma 90.00
_space_group_name_H-M_alt 'P 1'
_space_group_IT_number 1
_space_group_name_Hall 'P 1'
loop_
_atom_site_label
_atom_site_fract_x
_atom_site_fract_y
_atom_site_fract_z
_atom_site_occupancy
Be1 0.000 0.000 0.208 1
Be2 0.000 0.000 0.792 1
Hg1 0.500 0.500 0.500 1
Au1 0.500 0.500 0.000 1

---

Entry 17:
# BeHgAu3 PBE-GGA optimized geometry
# Space group: P-1
# Excess energy over the best structure of this formula in the dataset (meV/atom): 0
# Theoretical density (Mg/m³): 14.2
data_BeHgAu3
_cell_length_a 5.098
_cell_length_b 6.614
_cell_length_c 6.921
_cell_angle_alpha 117.41
_cell_angle_beta 92.94
_cell_angle_gamma 110.65
_space_group_name_H-M_alt 'P 1'
_space_group_IT_number 1
_space_group_name_Hall 'P 1'
loop_
_atom_site_label
_atom_site_fract_x
_atom_site_fract_y
_atom_site_fract_z
_atom_site_occupancy
Be1 0.242 0.175 0.093 1
Be2 0.758 0.825 0.907 1
Hg1 0.246 0.730 0.346 1
Hg2 0.754 0.270 0.654 1
Au1 0.019 0.987 0.705 1
Au2 0.253 0.757 0.875 1
Au3 0.500 0.500 0.000 1
Au4 0.500 0.500 0.500 1
Au5 0.747 0.243 0.125 1
Au6 0.981 0.013 0.295 1

---

Entry 18:
# Be2HgAu PBE-GGA optimized geometry
# Electronic total energy (eV/atom): -2.68
# Space group: C2/m
# Theoretical density (Mg/m³): 10.0
data_Be2HgAu
_cell_length_a 4.094
_cell_length_b 4.094
_cell_length_c 4.711
_cell_angle_alpha 90.29
_cell_angle_beta 90.29
_cell_angle_gamma 60.92
_space_group_name_H-M_alt 'P 1'
_space_group_IT_number 1
_space_group_name_Hall 'P 1'
loop_
_atom_site_label
_atom_site_fract_x
_atom_site_fract_y
_atom_site_fract_z
_atom_site_occupancy
Be1 0.167 0.167 0.001 1
Be2 0.833 0.833 0.999 1
Hg1 0.000 0.000 0.500 1
Au1 0.500 0.500 0.000 1

---

Entry 19:
# BeHg2Au PBE-GGA optimized geometry
# Electronic total energy (eV/atom): -1.59
# Space group: C2/m
# Theoretical density (Mg/m³): 13.1
data_BeHg2Au
_cell_length_a 5.570
_cell_length_b 5.570
_cell_length_c 5.779
_cell_angle_alpha 120.74
_cell_angle_beta 120.74
_cell_angle_gamma 30.28
_space_group_name_H-M_alt 'P 1'
_space_group_IT_number 1
_space_group_name_Hall 'P 1'
loop_
_atom_site_label
_atom_site_fract_x
_atom_site_fract_y
_atom_site_fract_z
_atom_site_occupancy
Be1 0.000 0.000 0.000 1
Hg1 0.281 0.281 0.781 1
Hg2 0.719 0.719 0.219 1
Au1 0.500 0.500 0.500 1

---

Entry 20:
# Be2HgAu2 PBE-GGA optimized geometry
# Space group: P4/mbm
# Excess energy over the best structure of this formula in the dataset (meV/atom): 107
# Theoretical density (Mg/m³): 13.2
data_Be2HgAu2
_cell_length_a 7.230
_cell_length_b 7.230
_cell_length_c 2.939
_cell_angle_alpha 90.00
_cell_angle_beta 90.00
_cell_angle_gamma 90.00
_space_group_name_H-M_alt 'P 1'
_space_group_IT_number 1
_space_group_name_Hall 'P 1'
loop_
_atom_site_label
_atom_site_fract_x
_atom_site_fract_y
_atom_site_fract_z
_atom_site_occupancy
Be1 0.143 0.357 0.000 1
Be2 0.357 0.857 0.000 1
Be3 0.643 0.143 0.000 1
Be4 0.857 0.643 0.000 1
Hg1 0.000 0.000 0.500 1
Hg2 0.500 0.500 0.500 1
Au1 0.144 0.644 0.500 1
Au2 0.356 0.144 0.500 1
Au3 0.644 0.856 0.500 1
Au4 0.856 0.356 0.500 1